Record 1
A plane-wave DFT calculation with PBE was carried out for an optimized crystal structure of SiTcMo3.

Cell and atoms, written as POSCAR:
```
SiTcMo3
1.0
4.431 0.000 0.000
0.000 4.431 0.000
0.000 0.000 4.431
Mo Si Tc
3 1 1
Direct
0.000 0.000 0.500
0.500 0.000 0.000
0.000 0.500 0.000
0.000 0.000 0.000
0.500 0.500 0.500
```

Computed properties:
Polymorph energy (0 for the lowest one) = 0.000 eV/atom

Record 2
A plane-wave DFT calculation with PBE was carried out for an optimized crystal structure of CaHoZn2Au5.

Cell and atoms, written as POSCAR:
```
CaHoZn2Au5
1.0
4.436 0.000 0.000
0.000 4.436 0.000
0.000 0.000 9.189
Au Zn Ca Ho
5 2 1 1
Direct
0.000 0.500 0.732
0.500 0.000 0.732
0.500 0.500 0.500
0.500 0.000 0.268
0.000 0.500 0.268
0.500 0.500 0.129
0.500 0.500 0.871
0.000 0.000 0.500
0.000 0.000 0.000
```

Computed properties:
Formation energy from the elements = -0.493 eV per atom

Record 3
A plane-wave DFT calculation with PBE was carried out for an optimized crystal structure of ErPaBi2C.

Cell and atoms, written as POSCAR:
```
ErPaBi2C
1.0
-2.406 3.579 -0.300
-2.301 -1.813 -3.179
-8.679 -5.067 9.173
Bi Pa Er C
4 2 2 2
Direct
0.000 0.500 0.682
0.500 0.000 0.318
0.500 0.000 0.855
0.000 0.500 0.145
0.000 0.500 0.427
0.500 0.000 0.573
0.000 0.500 0.913
0.500 0.000 0.087
0.000 0.000 0.500
0.500 0.500 0.500
```

Computed properties:
Formation energy from the elements = -0.316 eV per atom

Record 4
A plane-wave DFT calculation with PBE was carried out for an optimized crystal structure of Nd3Ho12Pu.

Cell and atoms, written as POSCAR:
```
Nd3Ho12Pu
1.0
-2.406 -1.947 -3.951
1.683 -4.566 1.225
-16.236 -2.940 11.337
Ho Pu Nd
12 1 3
Direct
0.500 0.500 0.500
0.500 0.500 0.247
0.500 0.000 0.880
0.500 0.000 0.627
0.000 0.500 0.627
0.000 0.500 0.373
0.000 0.500 0.120
0.500 0.000 0.120
0.500 0.500 0.000
0.500 0.500 0.753
0.000 0.500 0.880
0.500 0.000 0.373
0.000 0.000 0.000
0.000 0.000 0.753
0.000 0.000 0.247
0.000 0.000 0.500
```

Computed properties:
Formation energy from the elements = 0.044 eV per atom

Record 5
A plane-wave DFT calculation with PBE was carried out for an optimized crystal structure of Ti6In2Si.

Cell and atoms, written as POSCAR:
```
Ti6In2Si
1.0
3.321 0.000 0.000
0.000 7.515 0.000
0.000 -3.757 6.507
Ti Si In
6 1 2
Direct
0.500 0.000 0.636
0.500 0.364 0.364
0.000 0.000 0.252
0.500 0.637 0.000
0.000 0.252 0.000
0.000 0.748 0.748
0.500 0.000 0.000
0.000 0.667 0.333
0.000 0.333 0.667
```

Computed properties:
Electronic total energy = -6.746 eV/atom

Record 6
A plane-wave DFT calculation with PBE was carried out for an optimized crystal structure of AcCe2Be2O6.

Cell and atoms, written as POSCAR:
```
AcCe2Be2O6
1.0
5.683 0.000 0.000
-2.842 4.922 0.000
0.000 0.000 6.146
Ce O Be Ac
2 6 2 1
Direct
0.667 0.333 0.624
0.333 0.667 0.376
0.928 0.318 0.256
0.389 0.072 0.256
0.682 0.611 0.256
0.318 0.389 0.744
0.072 0.682 0.744
0.611 0.928 0.744
0.667 0.333 0.190
0.333 0.667 0.810
0.000 0.000 0.000
```

Computed properties:
Electronic total energy = -7.575 eV/atom

Record 7
A plane-wave DFT calculation with PBE was carried out for an optimized crystal structure of Tb3Sb.

Cell and atoms, written as POSCAR:
```
Tb3Sb
1.0
-3.434 -2.947 -1.077
-1.075 -0.395 4.508
-1.062 5.697 -2.153
Tb Sb
3 1
Direct
0.750 0.250 0.500
0.250 0.750 0.500
0.500 0.500 0.000
0.000 0.000 0.000
```

Computed properties:
Polymorph energy (0 for the lowest one) = 0.118 eV/atom

Record 8
A plane-wave DFT calculation with PBE was carried out for an optimized crystal structure of Pm3ThMg4.

Cell and atoms, written as POSCAR:
```
Pm3ThMg4
1.0
-3.192 -1.958 0.854
1.275 0.235 5.306
-5.517 9.392 0.910
Mg Pm Th
4 3 1
Direct
0.000 0.500 0.252
0.000 0.000 0.500
0.000 0.000 0.000
0.000 0.500 0.748
0.500 0.000 0.754
0.500 0.000 0.246
0.500 0.500 0.500
0.500 0.500 0.000
```

Computed properties:
Formation energy from the elements = -0.058 eV per atom